Below is crystalline Tm6SnTe3Se2 at its relaxed geometry, with properties calculated at the PBE level.

Unit cell a=7.2558 b=7.2558 c=7.4247 alpha=99.39 beta=99.39 gamma=119.88
Atoms (fractional coordinates):
Te 0.1640 0.8360 0.5000
Tm 0.9255 0.5836 0.7759
Te 0.8360 0.1640 0.5000
Tm 0.5836 0.9255 0.7759
Tm 0.0745 0.4164 0.2241
Tm 0.2683 0.2683 0.7784
Se 0.3327 0.6673 0.0000
Se 0.6673 0.3327 0.0000
Sn 0.0000 0.0000 0.0000
Tm 0.7317 0.7317 0.2216
Tm 0.4164 0.0745 0.2241
Te 0.5000 0.5000 0.5000

**VASP energy**: -62.74 eV for the cell shown
**Space-group type**: C2/m, No. 12



Below is crystalline Ca3BiW at its relaxed geometry, with properties calculated at the PBE level.

Unit cell a=5.5060 b=5.5060 c=5.5060 alpha=90.00 beta=90.00 gamma=90.00
Atoms (fractional coordinates):
Ca 0.0000 0.5000 0.0000
W 0.0000 0.0000 0.0000
Ca 0.5000 0.0000 0.0000
Bi 0.5000 0.5000 0.5000
Ca 0.0000 0.0000 0.5000

**Polymorph energy (0 for the lowest one)**: 0.0 meV/atom
**Energy of formation from the pure elements**: 0.790 eV per atom
**Space-group type**: Pm-3m, No. 221



Below is crystalline YSiIr at its relaxed geometry, with properties calculated at the PBE level.

Unit cell a=4.5740 b=4.5740 c=4.5740 alpha=60.00 beta=60.00 gamma=60.00
Atoms (fractional coordinates):
Y 0.7500 0.7500 0.7500
Ir 0.0000 0.0000 0.0000
Si 0.5000 0.5000 0.5000

**VASP energy**: -19.91 eV for the cell shown
**Space-group type**: F-43m, No. 216